4
Lattice="-2.064 2.064 4.303 2.064 -2.064 4.303 2.064 2.064 -4.303" Properties=species:S:1:pos:R:3 comment="Ag2AsSe, PBEsol geometry, DFT SCAN" total_magnetization_mub_per_fu=0.00 space_group="No. 139" density_g_cm3=8.37 total_energy_ev_per_atom=-25.496 formation_energy_uncorrected_mev_per_atom=255 pbc="T T T"
Ag 2.064 0.000 2.152
Ag 0.000 2.064 2.152
As 0.000 0.000 0.000
Se 0.000 0.000 4.303